Below is a relaxed ScNbNi crystal, with properties calculated at the GGA-PBE level. Values from VASP.

Computed properties:
formation enthalpy at 0 K: -0.1380 eV per atom
E above lowest polymorph: 0.034 eV/atom
total energy: -7.532 eV per atom

Structure (Quantum ESPRESSO input):
```
&SYSTEM
  ibrav = 0, nat = 6, ntyp = 3
/
ATOMIC_SPECIES
Sc 44.96 Sc.upf
Nb 92.91 Nb.upf
Ni 58.69 Ni.upf
ATOMIC_POSITIONS crystal
Sc 0.000 0.000 0.153
Sc 0.000 0.000 0.847
Nb 0.500 0.500 0.352
Nb 0.500 0.500 0.648
Ni 0.000 0.000 0.500
Ni 0.500 0.500 0.000
CELL_PARAMETERS angstrom
3.098 0.000 0.000
0.000 3.098 0.000
0.000 0.000 10.580
```